The following is a DFT calculation (PBE) of an optimized crystal structure of K3Dy3AlSe8.

Cell: 14.098 8.132 9.222 Å, 90.00 120.66 90.00°
Space group C2/m (No. 12)
Symmetry-distinct sites (fractional):
K 0.000 0.000 0.000 x2
K 0.250 0.250 0.000 x4
Dy 0.000 0.500 0.500 x2
Dy 0.250 0.250 0.500 x4
Al 0.000 0.000 0.500 x2
Se 0.013 0.232 0.308 x8
Se 0.218 0.000 0.692 x4
Se 0.236 0.500 0.707 x4

Results
Final energy = -141.4 eV for the cell shown
Size of the total moment = 0.0 μB/cell